Entry 1:
Here is an optimized crystal structure of SrPb2Au2 from the Alexandria database. Energies are from PBE-GGA.

Cell: 4.642 4.642 7.363 Å, 71.63 71.63 90.00°
Atoms (fractional coordinates):
Pb: 0.750 0.250 0.500
Sr: 0.000 0.000 0.000
Au: 0.602 0.602 0.796
Au: 0.398 0.398 0.204
Pb: 0.250 0.750 0.500

Properties
Energy of formation, eV per atom: -0.407
DOS at the Fermi energy, states/eV/atom: 0.561
Electronic total energy, eV/cell: -17.7

---

Entry 2:
Here is an optimized crystal structure of Dy2Tm9Sc from the Alexandria database. Energies are from PBE-GGA.

Cell: 4.922 4.922 14.748 Å, 90.00 90.00 90.00°
Atoms (fractional coordinates):
Tm: 0.500 0.500 0.000
Dy: 0.000 0.000 0.332
Tm: 0.000 0.500 0.500
Tm: 0.500 0.000 0.500
Tm: 0.500 0.000 0.838
Tm: 0.500 0.500 0.669
Dy: 0.000 0.000 0.668
Tm: 0.000 0.500 0.838
Tm: 0.000 0.500 0.162
Sc: 0.000 0.000 0.000
Tm: 0.500 0.500 0.331
Tm: 0.500 0.000 0.162

Properties
Energy of formation, eV per atom: 0.033
DOS at the Fermi energy, states/eV/atom: 1.503
Electronic total energy, eV/cell: -55.4

---

Entry 3:
Here is an optimized crystal structure of La4CeNd15 from the Alexandria database. Energies are from PBE-GGA.

Cell: 5.222 5.222 26.053 Å, 90.00 90.00 90.00°
Atoms (fractional coordinates):
Nd: 0.000 0.500 0.299
Nd: 0.500 0.000 0.097
Nd: 0.500 0.000 0.701
Ce: 0.000 0.000 0.000
Nd: 0.500 0.500 0.801
Nd: 0.000 0.500 0.701
Nd: 0.500 0.500 0.000
Nd: 0.500 0.500 0.600
La: 0.000 0.000 0.400
Nd: 0.000 0.500 0.903
Nd: 0.500 0.500 0.400
La: 0.000 0.000 0.199
La: 0.000 0.000 0.801
Nd: 0.500 0.500 0.199
Nd: 0.000 0.500 0.500
Nd: 0.500 0.000 0.299
La: 0.000 0.000 0.600
Nd: 0.000 0.500 0.097
Nd: 0.500 0.000 0.903
Nd: 0.500 0.000 0.500

Properties
Energy of formation, eV per atom: 0.028
DOS at the Fermi energy, states/eV/atom: 1.807
Electronic total energy, eV/cell: -96.6